VASP calculation (PBE) on a relaxed structure of BeAlIn2.

energy relative to the lowest polymorph listed for this composition	40	meV/atom
space-group type	Imm2, No. 44
crystal system	orthorhombic
final energy	-2.90	eV/atom
DOS at the Fermi energy	1.5	states/eV/cell
formation enthalpy at 0 K	0.332	eV per atom

Unit cell a=6.596 b=6.596 c=6.596 alpha=153.47 beta=140.63 gamma=48.10
Sites, in units of the cell vectors:
Be  0.000  0.000  0.000
Al  0.828  0.328  0.500
In  0.207  0.707  0.500
In  0.507  0.507  0.000